The following is a PBE calculation of a geometry-optimized YTc2 structure, from Alexandria.

```
data_YTc2
_cell_length_a 5.926
_cell_length_b 4.445
_cell_length_c 8.778
_cell_angle_alpha 90.00
_cell_angle_beta 90.00
_cell_angle_gamma 90.00
_space_group_name_H-M_alt 'P 1'
_space_group_IT_number 1
loop_
_space_group_symop_operation_xyz
'x,y,z'
loop_
_atom_site_label
_atom_site_type_symbol
_atom_site_fract_x
_atom_site_fract_y
_atom_site_fract_z
Y1 Y 0.647 0.250 0.584
Y2 Y 0.353 0.750 0.416
Y3 Y 0.853 0.750 0.084
Y4 Y 0.147 0.250 0.916
Tc1 Tc 0.631 0.250 0.908
Tc2 Tc 0.036 0.250 0.314
Tc3 Tc 0.964 0.750 0.686
Tc4 Tc 0.131 0.250 0.592
Tc5 Tc 0.464 0.750 0.814
Tc6 Tc 0.369 0.750 0.092
Tc7 Tc 0.536 0.250 0.186
Tc8 Tc 0.869 0.750 0.408
```

Results
formation enthalpy at 0 K	0.207	eV per atom
space group	No. 62
V	19.27	Å³/atom
total magnetization	0.00	μB/atom
offset from the most stable computed form	0.383	eV per atom